1) Here is a geometry-optimized Mg6FeCoO8 structure from Alexandria. Energies are from PBE+U.

a b c (Å): 4.291 4.291 8.506
angles (deg): 90.00 90.00 90.00
Atoms (fractional coordinates):
1 Mg 0.000 0.000 0.000
2 Mg 0.000 0.000 0.500
3 Mg 0.000 0.500 0.249
4 Mg 0.000 0.500 0.751
5 Mg 0.500 0.000 0.249
6 Mg 0.500 0.000 0.751
7 Fe 0.500 0.500 0.500
8 Co 0.500 0.500 0.000
9 O 0.000 0.000 0.249
10 O 0.000 0.000 0.751
11 O 0.000 0.500 0.000
12 O 0.000 0.500 0.500
13 O 0.500 0.000 0.000
14 O 0.500 0.000 0.500
15 O 0.500 0.500 0.249
16 O 0.500 0.500 0.751

Summary:
Its space group is P4/mmm.

***

2) Here is a geometry-optimized Mg6FeCoO8 structure from Alexandria. Energies are from PBE+U.

a b c (Å): 4.251 4.251 8.623
angles (deg): 90.00 90.00 90.00
Atoms (fractional coordinates):
1 Mg 0.000 0.000 0.000
2 Mg 0.000 0.500 0.249
3 Mg 0.000 0.500 0.751
4 Mg 0.500 0.000 0.249
5 Mg 0.500 0.000 0.751
6 Mg 0.500 0.500 0.000
7 Fe 0.000 0.000 0.500
8 Co 0.500 0.500 0.500
9 O 0.000 0.000 0.249
10 O 0.000 0.000 0.751
11 O 0.000 0.500 0.000
12 O 0.000 0.500 0.500
13 O 0.500 0.000 0.000
14 O 0.500 0.000 0.500
15 O 0.500 0.500 0.243
16 O 0.500 0.500 0.757

Summary:
Its space group is P4/mmm.

***

Most favorable structure: 1). The second most favorable one is 0.014 eV/atom above it.